1.
Entry from Alexandria via LeMat-Bulk: crystalline Pm4SnO2 at its relaxed geometry (PBE).

As for the energy relative to the elements, uncorrected: -1.658 eV/atom.

The structure belongs to space group R-3m (No. 166, hexagonal axes); the cell edges are 3.8616, 3.8616 and 42.6450 Å and the angles 90.00°, 90.00° and 120.00°. Symmetry generates all atoms from Pm at (0.0000, 0.0000, 0.1268), Pm at (0.0000, 0.0000, 0.2778), Sn at (0.0000, 0.0000, 0.0000) and O at (0.0000, 0.0000, 0.2218).

2.
Entry from Alexandria via LeMat-Bulk: crystalline Pm6SnO12 at its relaxed geometry (PBE).

As for the energy relative to the elements, uncorrected: -2.926 eV/atom.

The structure belongs to space group R-3 (No. 148, hexagonal axes); the cell edges are 10.2244, 10.2244 and 9.6427 Å and the angles 90.00°, 90.00° and 120.00°. Symmetry generates all atoms from Pm at (0.0533, 0.7911, 0.1535), Sn at (0.0000, 0.0000, 0.5000), O at (0.0401, 0.8158, 0.9019) and O at (0.0419, 0.8435, 0.3929).

3.
Entry from Alexandria via LeMat-Bulk: crystalline Pm5Sn3O at its relaxed geometry (PBE).

As for the energy relative to the elements, uncorrected: -1.238 eV/atom.

The structure belongs to space group P6_3/mcm (No. 193); the cell edges are 9.1846, 9.1846 and 6.5707 Å and the angles 90.00°, 90.00° and 120.00°. Symmetry generates all atoms from Pm at (0.0000, 0.2226, 0.2500), Pm at (0.3333, 0.6667, 0.0000), Sn at (0.0000, 0.3992, 0.7500) and O at (0.0000, 0.0000, 0.0000).

4.
Entry from Alexandria via LeMat-Bulk: crystalline Pm6Sn2O at its relaxed geometry (PBE).

As for the energy relative to the elements, uncorrected: -0.754 eV/atom.

The structure belongs to space group Amm2 (No. 38); the cell edges are 3.893, 15.014 and 8.835 Å and the angles 90.00°, 90.00° and 90.00°. Symmetry generates all atoms from Pm at (0.000, 0.000, 0.000), Pm at (0.000, 0.119, 0.631), Pm at (0.500, 0.000, 0.353), Pm at (0.500, 0.209, 0.961), Sn at (0.000, 0.167, 0.254) and O at (0.500, 0.000, 0.871).

5.
Entry from Alexandria via LeMat-Bulk: crystalline Pm3SnO7 at its relaxed geometry (PBE).

As for the energy relative to the elements, uncorrected: -2.735 eV/atom.

The structure belongs to space group Cmcm (No. 63); the cell edges are 10.640, 7.702 and 7.844 Å and the angles 90.00°, 90.00° and 90.00°. Symmetry generates all atoms from Pm at (0.000, 0.000, 0.000), Pm at (0.224, 0.289, 0.250), Sn at (0.000, 0.500, 0.000), O at (0.000, 0.416, 0.250), O at (0.128, 0.296, 0.533) and O at (0.134, 0.019, 0.250).

6.
Entry from Alexandria via LeMat-Bulk: crystalline Pm7Sn4O at its relaxed geometry (PBE).

As for the energy relative to the elements, uncorrected: -0.890 eV/atom.

The structure belongs to space group C2/m (No. 12); the cell edges are 16.700, 5.138 and 11.200 Å and the angles 90.00°, 128.65° and 90.00°. Symmetry generates all atoms from Pm at (0.000, 0.000, 0.000), Pm at (0.067, 0.500, 0.249), Pm at (0.136, 0.000, 0.547), Pm at (0.213, 0.500, 0.855), Sn at (0.080, 0.000, 0.790), Sn at (0.221, 0.000, 0.347) and O at (0.000, 0.500, 0.000).

7.
Entry from Alexandria via LeMat-Bulk: crystalline Pm4Sn2O at its relaxed geometry (PBE).

As for the energy relative to the elements, uncorrected: -1.276 eV/atom.

The structure belongs to space group P2_1/m (No. 11); the cell edges are 6.554, 6.849 and 9.428 Å and the angles 90.00°, 110.18° and 90.00°. Symmetry generates all atoms from Pm at (0.194, 0.250, 0.048), Pm at (0.241, 0.504, 0.707), Pm at (0.276, 0.750, 0.341), Sn at (0.240, 0.250, 0.403), Sn at (0.337, 0.750, 0.029) and O at (0.090, 0.250, 0.789).

8.
Entry from Alexandria via LeMat-Bulk: crystalline Pm4Sn2O at its relaxed geometry (PBE).

As for the energy relative to the elements, uncorrected: -1.285 eV/atom.

The structure belongs to space group I4/mmm (No. 139); the cell edges are 4.721, 4.721 and 17.216 Å and the angles 90.00°, 90.00° and 90.00°. Symmetry generates all atoms from Pm at (0.000, 0.000, 0.174), Pm at (0.000, 0.500, 0.000), Sn at (0.000, 0.000, 0.361) and O at (0.000, 0.000, 0.000).